# MoIrPt4

Crystalline MoIrPt4 at its relaxed geometry (PBE, Alexandria).

* M_tot: 0.0 μB per formula unit
* VASP energy: -7.00 eV/atom
* symmetry: F-43m (216)

Structure (CIF):
```
data_MoIrPt4
_symmetry_space_group_name_H-M 'P 1'
_symmetry_Int_Tables_number 1
_cell_length_a 5.169
_cell_length_b 5.169
_cell_length_c 5.169
_cell_angle_alpha 60.00
_cell_angle_beta 60.00
_cell_angle_gamma 60.00
loop_
_symmetry_equiv_pos_as_xyz
'x,y,z'
loop_
_atom_site_label
_atom_site_type_symbol
_atom_site_fract_x
_atom_site_fract_y
_atom_site_fract_z
Mo1 Mo 0.000 0.000 0.000
Ir1 Ir 0.250 0.250 0.250
Pt1 Pt 0.125 0.625 0.625
Pt2 Pt 0.625 0.125 0.625
Pt3 Pt 0.625 0.625 0.125
Pt4 Pt 0.625 0.625 0.625
```



# La6Tb5Ho2

Crystalline La6Tb5Ho2 at its relaxed geometry (PBE, Alexandria).

* M_tot: 0.0 μB per formula unit
* VASP energy: -4.65 eV/atom
* symmetry: Pbam (55)

Structure (CIF):
```
data_La6Tb5Ho2
_symmetry_space_group_name_H-M 'P 1'
_symmetry_Int_Tables_number 1
_cell_length_a 11.792
_cell_length_b 20.978
_cell_length_c 3.650
_cell_angle_alpha 90.00
_cell_angle_beta 90.00
_cell_angle_gamma 90.00
loop_
_symmetry_equiv_pos_as_xyz
'x,y,z'
loop_
_atom_site_label
_atom_site_type_symbol
_atom_site_fract_x
_atom_site_fract_y
_atom_site_fract_z
La1 La 0.061 0.080 0.000
La2 La 0.082 0.367 0.000
La3 La 0.173 0.636 0.500
La4 La 0.327 0.136 0.500
La5 La 0.418 0.867 0.000
La6 La 0.439 0.580 0.000
La7 La 0.561 0.420 0.000
La8 La 0.582 0.133 0.000
La9 La 0.673 0.864 0.500
La10 La 0.827 0.364 0.500
La11 La 0.918 0.633 0.000
La12 La 0.939 0.920 0.000
Tb1 Tb 0.000 0.500 0.500
Tb2 Tb 0.093 0.227 0.500
Tb3 Tb 0.198 0.942 0.500
Tb4 Tb 0.302 0.442 0.500
Tb5 Tb 0.407 0.727 0.500
Tb6 Tb 0.500 0.000 0.500
Tb7 Tb 0.593 0.273 0.500
Tb8 Tb 0.698 0.558 0.500
Tb9 Tb 0.802 0.058 0.500
Tb10 Tb 0.907 0.773 0.500
Ho1 Ho 0.165 0.791 0.000
Ho2 Ho 0.335 0.291 0.000
Ho3 Ho 0.665 0.709 0.000
Ho4 Ho 0.835 0.209 0.000
```